Record 1
Crystalline U3RhSe6 at its relaxed geometry. Source: Alexandria, functional PBE.

Summary:
M_tot = 8.2 μB/f.u.
raw formation energy = -809 kJ/mol of formula units
E_tot = -141.0 eV for the cell shown

Structure (POSCAR):
```
U3RhSe6
1.0
5.587 3.226 4.875
-5.587 3.226 4.875
0.000 -6.452 4.875
U Rh Se
6 2 12
direct
0.072 0.581 0.228 U
0.228 0.072 0.581 U
0.419 0.772 0.928 U
0.581 0.228 0.072 U
0.772 0.928 0.419 U
0.928 0.419 0.772 U
0.000 0.000 0.000 Rh
0.500 0.500 0.500 Rh
0.084 0.701 0.887 Se
0.113 0.916 0.299 Se
0.196 0.424 0.534 Se
0.299 0.113 0.916 Se
0.424 0.534 0.196 Se
0.466 0.804 0.576 Se
0.534 0.196 0.424 Se
0.576 0.466 0.804 Se
0.701 0.887 0.084 Se
0.804 0.576 0.466 Se
0.887 0.084 0.701 Se
0.916 0.299 0.113 Se
```


Record 2
Crystalline VRhSe2 at its relaxed geometry. Source: Alexandria, functional PBE.

Summary:
M_tot = 0.9 μB/f.u.
raw formation energy = -42 kJ/mol of formula units
energy above the most stable polymorph in this dataset = 204 meV/atom
E_tot = -23.9 eV for the cell shown

Structure (POSCAR):
```
VRhSe2
1.0
0.000 3.149 3.149
3.149 0.000 3.149
3.149 3.149 0.000
V Rh Se
1 1 2
direct
0.000 0.000 0.000 V
0.500 0.500 0.500 Rh
0.250 0.250 0.250 Se
0.750 0.750 0.750 Se
```


Record 3
Crystalline VRh2Se at its relaxed geometry. Source: Alexandria, functional PBE.

Summary:
M_tot = 0.0 μB/f.u.
raw formation energy = 80 kJ/mol of formula units
E_tot = -53.0 eV for the cell shown

Structure (POSCAR):
```
VRh2Se
1.0
-2.741 2.741 5.455
2.741 -2.741 5.455
2.741 2.741 -5.455
V Rh Se
2 4 2
direct
0.000 0.000 0.000 V
0.750 0.250 0.500 V
0.111 0.625 0.986 Rh
0.375 0.361 0.486 Rh
0.639 0.125 0.014 Rh
0.875 0.889 0.514 Rh
0.250 0.750 0.500 Se
0.500 0.500 0.000 Se
```


Record 4
Crystalline VRhSe4 at its relaxed geometry. Source: Alexandria, functional PBE.

Summary:
M_tot = 0.8 μB/f.u.
raw formation energy = -278 kJ/mol of formula units
energy above the most stable polymorph in this dataset = 0 meV/atom
E_tot = -33.3 eV for the cell shown

Structure (POSCAR):
```
VRhSe4
1.0
6.891 -1.742 0.000
6.891 1.742 0.000
-2.432 0.000 5.400
V Rh Se
1 1 4
direct
0.000 0.000 0.000 V
0.500 0.500 0.500 Rh
0.121 0.121 0.450 Se
0.378 0.378 0.047 Se
0.622 0.622 0.953 Se
0.879 0.879 0.550 Se
```